Run a
First-principles (PBE) data for a geometry-optimized PmPr2Au structure, as listed in Alexandria.

Output
Space-group type: Pnma (62)

Cell: 6.789 7.235 10.353 Å, 90.00 90.00 90.00°
Fractional coordinates of all 16 atoms:
Pr (0.676, 0.805, 0.946)
Pr (0.824, 0.305, 0.554)
Pr (0.824, 0.305, 0.946)
Pr (0.324, 0.195, 0.054)
Pr (0.176, 0.695, 0.054)
Pr (0.676, 0.805, 0.554)
Pr (0.324, 0.195, 0.446)
Pr (0.176, 0.695, 0.446)
Pm (0.134, 0.984, 0.750)
Pm (0.866, 0.016, 0.250)
Pm (0.634, 0.516, 0.250)
Pm (0.366, 0.484, 0.750)
Au (0.061, 0.397, 0.250)
Au (0.439, 0.897, 0.250)
Au (0.939, 0.603, 0.750)
Au (0.561, 0.103, 0.750)

Run b
First-principles (PBE) data for a geometry-optimized PmPr2Au structure, as listed in Alexandria.

Output
Space-group type: P4/mmm (123)

Cell: 3.767 3.767 8.698 Å, 90.00 90.00 90.00°
Fractional coordinates of all 4 atoms:
Pr (0.000, 0.000, 0.210)
Pr (0.000, 0.000, 0.790)
Pm (0.500, 0.500, 0.500)
Au (0.500, 0.500, 0.000)

Run c
First-principles (PBE) data for a geometry-optimized PmPr2Au structure, as listed in Alexandria.

Output
Space-group type: R-3m (166)

Cell: 3.794 3.794 10.634 Å, 79.72 79.72 60.00°
Fractional coordinates of all 4 atoms:
Pr (0.738, 0.738, 0.787)
Pr (0.262, 0.262, 0.213)
Au (0.000, 0.000, 0.000)
Pm (0.500, 0.500, 0.500)

Run d
First-principles (PBE) data for a geometry-optimized PmPr2Au structure, as listed in Alexandria.

Output
Space-group type: P4/mmm (123)

Cell: 3.742 5.595 5.595 Å, 90.00 90.00 90.00°
Fractional coordinates of all 4 atoms:
Pr (0.000, 0.500, 0.000)
Pr (0.000, 0.000, 0.500)
Au (0.500, 0.000, 0.000)
Pm (0.500, 0.500, 0.500)

Least stable: run d